{"formula": "Y3Sn2Ru", "functional": "PBE-GGA", "state": "relaxed", "volume_a3_per_cell": 629.4, "total_magnetization_mub_per_atom": 0.000, "sg": "Pnma (62)", "e_tot_ev_per_fu": -40.541, "lattice": [[-1.4430, 1.6692, 3.7774], [8.7809, -5.0584, 5.5896], [6.9831, 10.1254, -1.8069]], "species": ["Y", "Y", "Y", "Y", "Y", "Y", "Y", "Y", "Y", "Y", "Y", "Y", "Ru", "Ru", "Ru", "Ru", "Sn", "Sn", "Sn", "Sn", "Sn", "Sn", "Sn", "Sn"], "fractional_positions": [[0.7500, 0.6280, 0.9454], [0.7500, 0.2873, 0.7571], [0.2500, 0.1280, 0.5546], [0.2500, 0.4529, 0.3796], [0.2500, 0.7873, 0.7429], [0.7500, 0.8720, 0.4454], [0.2500, 0.7127, 0.2429], [0.7500, 0.2127, 0.2571], [0.2500, 0.3720, 0.0546], [0.7500, 0.5471, 0.6204], [0.2500, 0.0471, 0.8796], [0.7500, 0.9529, 0.1204], [0.2500, 0.3677, 0.6257], [0.7500, 0.6323, 0.3743], [0.2500, 0.1323, 0.1257], [0.7500, 0.8677, 0.8743], [0.7500, 0.5050, 0.1891], [0.7500, 0.9950, 0.6891], [0.2500, 0.8069, 0.0028], [0.2500, 0.0050, 0.3109], [0.2500, 0.4950, 0.8109], [0.7500, 0.1930, 0.9972], [0.2500, 0.6931, 0.5028], [0.7500, 0.3070, 0.4972]]}